1.
The following is a PBE-GGA calculation of a relaxed Sc4Cd crystal, from Alexandria via LeMat-Bulk.

```
Sc4Cd
1.0
-1.6369 1.6369 11.0277
1.6369 -1.6369 11.0277
1.6369 1.6369 -11.0277
Sc Cd
4 1
Cartesian
0.0000 0.0000 2.0869 Sc
0.0000 0.0000 6.6583 Sc
0.0000 0.0000 15.3972 Sc
0.0000 0.0000 19.9686 Sc
0.0000 0.0000 11.0277 Cd
```

Electronic total energy (eV per cell): -26.69
E above lowest polymorph (meV per atom): 0
ΔE_f (eV/atom): -0.0897
ρ (g/cm3): 4.11
V (Å³ per atom): 23.64
M_tot (μB/cell): 0.40

2.
The following is a PBE-GGA calculation of a relaxed YPuGaO6 crystal, from Alexandria via LeMat-Bulk.

```
YPuGaO6
1.0
5.3058 0.0000 0.0000
-2.6529 4.5949 0.0000
0.0000 0.0000 9.9363
Y Pu Ga O
2 2 2 12
Cartesian
0.0000 0.0000 0.0000 Y
0.0000 0.0000 4.9682 Y
0.0000 3.0633 2.4841 Pu
2.6529 1.5316 7.4522 Pu
0.0000 3.0633 7.4522 Ga
2.6529 1.5316 2.4841 Ga
-0.9021 1.6327 6.3372 O
-1.6900 2.9973 8.5673 O
0.9021 1.6327 8.5673 O
-0.7878 4.5598 6.3372 O
1.8650 0.0351 1.3691 O
0.9629 1.5976 3.5991 O
1.6900 2.9973 6.3372 O
0.7878 4.5598 8.5673 O
3.4407 0.0351 3.5991 O
1.7508 2.9622 1.3691 O
4.3428 1.5976 1.3691 O
3.5550 2.9622 3.5991 O
```

Formation energy (no corrections) (eV per atom): -2.555
Electronic total energy (eV per cell): -153.13
ρ (g/cm3): 6.84
V (Å³ per atom): 13.46
M_tot (μB/cell): 4.00

3.
The following is a PBE-GGA calculation of a relaxed BaSbRu2 crystal, from Alexandria via LeMat-Bulk.

```
BaSbRu2
1.0
3.1004 0.0000 0.0000
0.0000 3.7348 0.0000
0.0000 0.0000 7.8291
Ba Sb Ru
1 1 2
Cartesian
0.0000 0.0000 0.0000 Ba
1.5502 1.8674 5.0487 Sb
0.0000 0.0000 3.4927 Ru
1.5502 1.8674 2.3699 Ru
```

Formation energy (no corrections) (eV per atom): 0.270
Electronic total energy (eV per cell): -23.52
ρ (g/cm3): 8.45
V (Å³ per atom): 22.66
M_tot (μB/cell): 0.00